{"formula": "Ce6PuSn2N", "functional": "PBE", "state": "relaxed", "lattice_angstrom": [[0.000, 4.953, 4.953], [4.953, 0.000, 4.953], [4.953, 4.953, 0.000]], "species": ["Ce", "Ce", "Ce", "Ce", "Ce", "Ce", "Pu", "Sn", "Sn", "N"], "fractional_positions": [[0.248, 0.248, 0.752], [0.248, 0.752, 0.248], [0.248, 0.752, 0.752], [0.752, 0.248, 0.248], [0.752, 0.248, 0.752], [0.752, 0.752, 0.248], [0.000, 0.000, 0.000], [0.250, 0.250, 0.250], [0.750, 0.750, 0.750], [0.500, 0.500, 0.500]]}



{"formula": "CePu2SnN", "functional": "PBE", "state": "relaxed", "lattice_angstrom": [[4.814, 0.000, 0.000], [0.000, 4.814, 0.000], [0.000, 0.000, 4.978]], "species": ["Ce", "Pu", "Pu", "Sn", "N"], "fractional_positions": [[0.000, 0.000, 0.000], [0.000, 0.500, 0.500], [0.500, 0.000, 0.500], [0.500, 0.500, 0.000], [0.000, 0.000, 0.500]]}



{"formula": "Sr3Ce3PuN8", "functional": "PBE", "state": "relaxed", "lattice_angstrom": [[3.591, 2.073, 5.995], [-3.591, 2.073, 5.995], [0.000, -4.146, 5.995]], "species": ["Sr", "Sr", "Sr", "Ce", "Ce", "Ce", "Pu", "N", "N", "N", "N", "N", "N", "N", "N"], "fractional_positions": [[0.000, 0.500, 0.500], [0.500, 0.000, 0.500], [0.500, 0.500, 0.000], [0.000, 0.000, 0.500], [0.000, 0.500, 0.000], [0.500, 0.000, 0.000], [0.500, 0.500, 0.500], [0.236, 0.236, 0.236], [0.261, 0.711, 0.711], [0.289, 0.289, 0.739], [0.289, 0.739, 0.289], [0.711, 0.261, 0.711], [0.711, 0.711, 0.261], [0.739, 0.289, 0.289], [0.764, 0.764, 0.764]]}



{"formula": "Sr3Ce2PuN6", "functional": "PBE", "state": "relaxed", "lattice_angstrom": [[3.140, -5.440, 0.000], [3.140, 5.440, 0.000], [-2.094, 0.000, 5.986]], "species": ["Sr", "Sr", "Sr", "Ce", "Ce", "Pu", "N", "N", "N", "N", "N", "N"], "fractional_positions": [[0.000, 0.000, 0.000], [0.334, 0.666, 0.000], [0.666, 0.334, 0.000], [0.167, 0.833, 0.500], [0.833, 0.167, 0.500], [0.500, 0.500, 0.500], [0.109, 0.432, 0.296], [0.245, 0.245, 0.703], [0.432, 0.109, 0.296], [0.568, 0.891, 0.704], [0.755, 0.755, 0.297], [0.891, 0.568, 0.704]]}



{"formula": "Sr3CePu2N6", "functional": "PBE", "state": "relaxed", "lattice_angstrom": [[7.925, -1.797, 0.000], [7.925, 1.797, 0.000], [-1.752, 0.000, 7.049]], "species": ["Sr", "Sr", "Sr", "Ce", "Pu", "Pu", "N", "N", "N", "N", "N", "N"], "fractional_positions": [[0.000, 0.000, 0.000], [0.333, 0.333, 0.668], [0.667, 0.667, 0.332], [0.000, 0.000, 0.500], [0.332, 0.332, 0.166], [0.668, 0.668, 0.834], [0.160, 0.160, 0.619], [0.179, 0.179, 0.054], [0.487, 0.487, 0.270], [0.513, 0.513, 0.730], [0.821, 0.821, 0.946], [0.840, 0.840, 0.381]]}



{"formula": "SrCe2PuN4", "functional": "PBE", "state": "relaxed", "lattice_angstrom": [[1.758, -6.732, 0.000], [1.758, 6.732, 0.000], [0.000, 0.000, 11.055]], "species": ["Sr", "Sr", "Ce", "Ce", "Ce", "Ce", "Pu", "Pu", "N", "N", "N", "N", "N", "N", "N", "N"], "fractional_positions": [[0.229, 0.771, 0.750], [0.771, 0.229, 0.250], [0.371, 0.629, 0.013], [0.371, 0.629, 0.487], [0.629, 0.371, 0.513], [0.629, 0.371, 0.987], [0.033, 0.967, 0.250], [0.967, 0.033, 0.750], [0.000, 0.000, 0.000], [0.000, 0.000, 0.500], [0.203, 0.797, 0.097], [0.203, 0.797, 0.403], [0.428, 0.572, 0.250], [0.572, 0.428, 0.750], [0.797, 0.203, 0.597], [0.797, 0.203, 0.903]]}



Let's list spin magnetization in order: 0.00; 12.22; 2.23; 4.06; 8.01; 12.11 μB/cell.
Let's list energy relative to the elements, uncorrected in order: -0.838; -0.792; -1.116; -1.131; -1.091; -1.124 eV per atom.